A plane-wave DFT calculation with GGA-PBE was carried out for SrLa2Sc after structural relaxation.

Cell: 5.2689 5.2689 10.4125 Å, 90.00 90.00 90.00°
Atoms (fractional coordinates):
Sr  0.0000  0.0000  0.0000
Sr  0.5000  0.5000  0.5000
La  0.0000  0.0000  0.5000
La  0.0000  0.5000  0.7500
La  0.5000  0.0000  0.2500
La  0.5000  0.5000  0.0000
Sc  0.0000  0.5000  0.2500
Sc  0.5000  0.0000  0.7500

- Offset from the most stable computed form: 0.127 eV per atom
- Energy of formation: 225 meV/atom
- Total magnetization: 0.00 μB per atom
- Theoretical density: 4.72 g cm⁻³
- Space-group type: I-4m2 (119)
- D(E_F): 2.01 states/eV per atom


A plane-wave DFT calculation with GGA-PBE was carried out for LaPr3SmTm after structural relaxation.

Cell: 8.1714 5.2170 10.3944 Å, 90.00 108.53 90.00°
Atoms (fractional coordinates):
La  0.1704  0.2500  0.2909
La  0.8296  0.7500  0.7091
Pr  0.1702  0.7500  0.5441
Pr  0.1716  0.2500  0.7939
Pr  0.1726  0.7500  0.0413
Pr  0.8274  0.2500  0.9587
Pr  0.8284  0.7500  0.2061
Pr  0.8298  0.2500  0.4559
Sm  0.4996  0.2500  0.6270
Sm  0.5004  0.7500  0.3730
Tm  0.4981  0.7500  0.8771
Tm  0.5019  0.2500  0.1229

- Energy of formation: 23 meV/atom
- Total magnetization: 0.00 μB per atom
- Theoretical density: 6.96 g cm⁻³
- Space-group type: P2_1/m (11)
- D(E_F): 1.64 states/eV per atom


A plane-wave DFT calculation with GGA-PBE was carried out for CdAu2I6 after structural relaxation.

Cell: 8.3864 8.3864 8.8697 Å, 95.23 95.23 39.81°
Atoms (fractional coordinates):
Cd  0.0000  0.0000  0.0000
Au  0.2860  0.2860  0.6512
Au  0.7140  0.7140  0.3488
I  0.0583  0.0583  0.7275
I  0.2191  0.2191  0.3625
I  0.3611  0.3611  0.9290
I  0.6389  0.6389  0.0710
I  0.7809  0.7809  0.6375
I  0.9417  0.9417  0.2725

- Total magnetization: 0.00 μB per atom
- Theoretical density: 5.30 g cm⁻³
- Space-group type: C2/m (12)
- D(E_F): 0.76 states/eV per atom
- Formation energy from raw total energies: -0.16 eV per atom


A plane-wave DFT calculation with GGA-PBE was carried out for CdReP after structural relaxation.

Cell: 3.0295 3.0295 6.6066 Å, 90.00 90.00 120.00°
Atoms (fractional coordinates):
Cd  0.0000  0.0000  0.0000
Re  0.3333  0.6667  0.6367
P  0.0000  0.0000  0.4005

- Offset from the most stable computed form: 0.000 eV per atom
- Energy of formation: -18 meV/atom
- Total magnetization: 0.00 μB per atom
- Theoretical density: 10.42 g cm⁻³
- Space-group type: P3m1 (156)
- D(E_F): 0.79 states/eV per atom


A plane-wave DFT calculation with GGA-PBE was carried out for ThSi3Tc after structural relaxation.

Cell: 6.4387 6.4387 6.4387 Å, 129.79 96.91 103.87°
Atoms (fractional coordinates):
Th  0.2961  0.0461  0.2500
Th  0.7039  0.9539  0.7500
Si  0.0955  0.3455  0.7500
Si  0.2318  0.0000  0.7318
Si  0.2318  0.5000  0.2318
Si  0.7682  0.0000  0.2682
Si  0.7682  0.5000  0.7682
Si  0.9045  0.6545  0.2500
Tc  0.0000  0.5000  0.5000
Tc  0.5000  0.5000  0.0000

- Offset from the most stable computed form: 0.029 eV per atom
- Total magnetization: 0.00 μB per atom
- Theoretical density: 7.43 g cm⁻³
- Space-group type: Imma (74)
- D(E_F): 0.62 states/eV per atom
- Formation energy from raw total energies: -0.41 eV per atom


A plane-wave DFT calculation with GGA-PBE was carried out for K2AsAuO4 after structural relaxation.

Cell: 6.3594 6.3594 7.0747 Å, 90.00 90.00 90.00°
Atoms (fractional coordinates):
K  0.0000  0.0000  0.0000
K  0.0000  0.5000  0.2500
K  0.5000  0.0000  0.7500
K  0.5000  0.5000  0.5000
As  0.0000  0.5000  0.7500
As  0.5000  0.0000  0.2500
Au  0.0000  0.0000  0.5000
Au  0.5000  0.5000  0.0000
O  0.1411  0.6736  0.6087
O  0.1736  0.3589  0.8913
O  0.3264  0.1411  0.3913
O  0.3589  0.8264  0.1087
O  0.6411  0.1736  0.1087
O  0.6736  0.8589  0.3913
O  0.8264  0.6411  0.8913
O  0.8589  0.3264  0.6087

- Total magnetization: 0.00 μB per atom
- Theoretical density: 4.81 g cm⁻³
- Space-group type: I-4 (82)
- Formation energy from raw total energies: -1.19 eV per atom


A plane-wave DFT calculation with GGA-PBE was carried out for BaPm2Th after structural relaxation.

Cell: 3.6789 3.6789 38.8574 Å, 90.00 90.00 120.00°
Atoms (fractional coordinates):
Ba  0.0000  0.0000  0.0000
Ba  0.3333  0.6667  0.6667
Ba  0.6667  0.3333  0.3333
Pm  0.0000  0.0000  0.0945
Pm  0.0000  0.0000  0.9055
Pm  0.3333  0.6667  0.5722
Pm  0.3333  0.6667  0.7612
Pm  0.6667  0.3333  0.2388
Pm  0.6667  0.3333  0.4278
Th  0.0000  0.0000  0.5000
Th  0.3333  0.6667  0.1667
Th  0.6667  0.3333  0.8333

- Offset from the most stable computed form: 0.073 eV per atom
- Energy of formation: 173 meV/atom
- Total magnetization: 0.00 μB per atom
- Theoretical density: 7.21 g cm⁻³
- Space-group type: R-3m (166)
- D(E_F): 1.10 states/eV per atom


A plane-wave DFT calculation with GGA-PBE was carried out for K2AgI3 after structural relaxation.

Cell: 10.2086 4.8352 19.8018 Å, 90.00 90.00 90.00°
Atoms (fractional coordinates):
K  0.0783  0.2500  0.2137
K  0.2491  0.7500  0.4612
K  0.2509  0.2500  0.9612
K  0.4217  0.7500  0.7137
K  0.5783  0.2500  0.2863
K  0.7491  0.7500  0.0388
K  0.7509  0.2500  0.5388
K  0.9217  0.7500  0.7863
Ag  0.1316  0.2500  0.6364
Ag  0.3684  0.7500  0.1364
Ag  0.6316  0.2500  0.8636
Ag  0.8684  0.7500  0.3636
I  0.0072  0.2500  0.4001
I  0.1195  0.7500  0.0706
I  0.1871  0.2500  0.7783
I  0.3129  0.7500  0.2783
I  0.3805  0.2500  0.5706
I  0.4928  0.7500  0.9001
I  0.5072  0.2500  0.0999
I  0.6195  0.7500  0.4294
I  0.6871  0.2500  0.7217
I  0.8129  0.7500  0.2217
I  0.8805  0.2500  0.9294
I  0.9928  0.7500  0.5999

- Offset from the most stable computed form: 0.000 eV per atom
- Total magnetization: 0.00 μB per atom
- Theoretical density: 3.85 g cm⁻³
- Space-group type: Pnma (62)
- D(E_F): 0.00 states/eV per atom
- Formation energy from raw total energies: -1.07 eV per atom


A plane-wave DFT calculation with GGA-PBE was carried out for ZrTe2 after structural relaxation.

Cell: 3.5394 3.5394 29.5773 Å, 90.00 90.00 90.00°
Atoms (fractional coordinates):
Zr  0.0000  0.2500  0.3750
Zr  0.0000  0.7500  0.6250
Zr  0.5000  0.2500  0.1250
Zr  0.5000  0.7500  0.8750
Te  0.0000  0.2500  0.8151
Te  0.0000  0.2500  0.9349
Te  0.0000  0.7500  0.0651
Te  0.0000  0.7500  0.1849
Te  0.5000  0.2500  0.5651
Te  0.5000  0.2500  0.6849
Te  0.5000  0.7500  0.3151
Te  0.5000  0.7500  0.4349

- Total magnetization: 0.00 μB per atom
- Theoretical density: 6.21 g cm⁻³
- Space-group type: I4_1/amd (141)
- D(E_F): 0.69 states/eV per atom
- Formation energy from raw total energies: -0.65 eV per atom


A plane-wave DFT calculation with GGA-PBE was carried out for Cd2InHg6Pb3 after structural relaxation.

Cell: 6.2441 6.2441 9.8713 Å, 96.21 96.21 120.11°
Atoms (fractional coordinates):
Cd  0.1654  0.8346  0.0000
Cd  0.8346  0.1654  0.0000
In  0.5000  0.5000  0.0000
Hg  0.0828  0.4234  0.7649
Hg  0.2402  0.2402  0.2350
Hg  0.4234  0.0828  0.7649
Hg  0.5766  0.9172  0.2351
Hg  0.7598  0.7598  0.7650
Hg  0.9172  0.5766  0.2351
Pb  0.0000  0.0000  0.5000
Pb  0.3339  0.6661  0.5000
Pb  0.6661  0.3339  0.5000

- Energy of formation: 21 meV/atom
- Total magnetization: 0.00 μB per atom
- Theoretical density: 11.06 g cm⁻³
- Space-group type: C2/m (12)
- D(E_F): 0.46 states/eV per atom


A plane-wave DFT calculation with GGA-PBE was carried out for Cs3Cd2Cl2F5 after structural relaxation.

Cell: 13.2382 13.2382 13.2382 Å, 159.43 159.43 29.25°
Atoms (fractional coordinates):
Cs  0.0000  0.0000  0.0000
Cs  0.1694  0.1694  0.0000
Cs  0.8306  0.8306  0.0000
Cd  0.4127  0.4127  0.0000
Cd  0.5873  0.5873  0.0000
Cl  0.3119  0.3119  0.0000
Cl  0.6881  0.6881  0.0000
F  0.0855  0.5855  0.5000
F  0.4145  0.9145  0.5000
F  0.5000  0.5000  0.0000
F  0.5855  0.0855  0.5000
F  0.9145  0.4145  0.5000

- Total magnetization: 0.00 μB per atom
- Theoretical density: 4.58 g cm⁻³
- Space-group type: I4/mmm (139)
- D(E_F): 0.00 states/eV per atom
- Formation energy from raw total energies: -2.24 eV per atom


A plane-wave DFT calculation with GGA-PBE was carried out for PrSm3Sc3 after structural relaxation.

Cell: 6.6009 6.6009 6.6009 Å, 109.58 109.58 109.58°
Atoms (fractional coordinates):
Pr  0.0000  0.0000  0.0000
Sm  0.1316  0.5776  0.5776
Sm  0.5776  0.1316  0.5776
Sm  0.5776  0.5776  0.1316
Sc  0.0777  0.0777  0.5735
Sc  0.0777  0.5735  0.0777
Sc  0.5735  0.0777  0.0777

- Offset from the most stable computed form: 0.070 eV per atom
- Energy of formation: 251 meV/atom
- Total magnetization: 0.00 μB per atom
- Theoretical density: 5.47 g cm⁻³
- Space-group type: R3m (160)
- D(E_F): 1.53 states/eV per atom